(1)
This record from Alexandria via LeMat-Bulk describes a relaxed structure of NaCe2NdS4. The functional is GGA-PBE.

Output
E_form (uncorrected) (kJ per mole of atoms): -181.4

Cell: 4.051 7.038 7.042 Å, 70.61 90.00 90.00°
Atoms (fractional coordinates):
Na: 0.500 0.500 0.000
Ce: 0.000 0.000 0.000
Ce: 0.500 0.000 0.500
Nd: 0.000 0.500 0.500
S: 0.000 0.754 0.748
S: 0.000 0.246 0.252
S: 0.500 0.751 0.248
S: 0.500 0.249 0.752


(2)
This record from Alexandria via LeMat-Bulk describes a relaxed structure of NaCeNd4S8. The functional is GGA-PBE.

Output
E_form (uncorrected) (kJ per mole of atoms): -182.5

Cell: 8.368 8.368 8.393 Å, 60.10 60.10 60.00°
Atoms (fractional coordinates):
Na: 0.375 0.375 0.875
Ce: 0.003 0.003 0.990
Nd: 0.626 0.626 0.123
Nd: 0.004 0.488 0.503
Nd: 0.488 0.004 0.503
Nd: 0.004 0.004 0.503
S: 0.238 0.783 0.740
S: 0.783 0.238 0.740
S: 0.238 0.238 0.740
S: 0.240 0.240 0.281
S: 0.758 0.226 0.258
S: 0.226 0.758 0.258
S: 0.758 0.758 0.258
S: 0.758 0.758 0.725


(3)
This record from Alexandria via LeMat-Bulk describes a relaxed structure of Na2CeNdS4. The functional is GGA-PBE.

Output
E_form (uncorrected) (kJ per mole of atoms): -170.1

Cell: 4.140 7.163 7.086 Å, 109.67 90.00 90.00°
Atoms (fractional coordinates):
Na: 0.500 0.000 0.500
Na: 0.000 0.500 0.500
Ce: 0.500 0.500 0.000
Nd: 0.000 0.000 0.000
S: 0.500 0.245 0.234
S: 0.500 0.755 0.766
S: 0.000 0.257 0.767
S: 0.000 0.743 0.233


(4)
This record from Alexandria via LeMat-Bulk describes a relaxed structure of NaCe4Nd3Se8. The functional is GGA-PBE.

Output
E_form (uncorrected) (kJ per mole of atoms): -172.0

Cell: 8.430 8.466 8.431 Å, 119.87 120.00 90.00°
Atoms (fractional coordinates):
Na: 0.000 0.500 0.000
Ce: 0.500 0.000 0.000
Ce: 0.500 0.000 0.500
Ce: 0.000 0.000 0.000
Ce: 0.000 0.000 0.500
Nd: 0.500 0.500 0.000
Nd: 0.500 0.500 0.500
Nd: 0.000 0.500 0.500
Se: 0.249 0.749 0.001
Se: 0.248 0.749 0.496
Se: 0.249 0.248 0.498
Se: 0.752 0.749 0.001
Se: 0.248 0.251 0.999
Se: 0.751 0.752 0.502
Se: 0.752 0.251 0.504
Se: 0.751 0.251 0.999


(5)
This record from Alexandria via LeMat-Bulk describes a relaxed structure of NaCe3Nd2Se6. The functional is GGA-PBE.

Output
E_form (uncorrected) (kJ per mole of atoms): -170.4

Cell: 4.211 8.468 9.457 Å, 102.93 102.87 90.00°
Atoms (fractional coordinates):
Na: 0.500 0.000 0.000
Ce: 0.500 0.500 0.000
Ce: 0.834 0.167 0.668
Ce: 0.166 0.833 0.332
Nd: 0.831 0.661 0.662
Nd: 0.169 0.339 0.338
Se: 0.334 0.917 0.668
Se: 0.665 0.586 0.330
Se: 0.666 0.083 0.332
Se: 0.001 0.251 0.002
Se: 0.999 0.749 0.998
Se: 0.335 0.414 0.670


(6)
This record from Alexandria via LeMat-Bulk describes a relaxed structure of NaCe2NdSe4. The functional is GGA-PBE.

Output
E_form (uncorrected) (kJ per mole of atoms): -166.5

Cell: 4.217 7.341 7.334 Å, 70.66 90.00 90.00°
Atoms (fractional coordinates):
Na: 0.500 0.500 0.000
Ce: 0.000 0.000 0.000
Ce: 0.500 0.000 0.500
Nd: 0.000 0.500 0.500
Se: 0.000 0.751 0.749
Se: 0.000 0.249 0.251
Se: 0.500 0.749 0.248
Se: 0.500 0.251 0.752


E: -6.19, -6.13, -5.49, -5.99, -5.90, -5.71 (eV per atom)
Density: 5.048, 3.977, 3.849, 6.418, 6.256, 5.917 (Mg/m³)